Record 1
First-principles (GGA-PBE) data for Ac2TlPtO6 after structural relaxation, as listed in Alexandria via LeMat-Bulk.

```
Ac2TlPtO6
1.0
5.8746 0.0000 0.0000
0.0000 6.3287 0.0000
-5.8687 0.0000 8.4544
Ac Tl Pt O
4 2 2 12
direct
0.2327 0.0664 0.2528
0.2327 0.4336 0.7528
0.7673 0.5664 0.2472
0.7673 0.9336 0.7472
0.5000 0.0000 0.0000
0.5000 0.5000 0.5000
0.0000 0.0000 0.5000
0.0000 0.5000 0.0000
0.0948 0.2235 0.9296
0.0948 0.2765 0.4296
0.2441 0.6747 0.9517
0.2441 0.8253 0.4517
0.3440 0.0546 0.7261
0.3440 0.4454 0.2261
0.6560 0.5546 0.7739
0.6560 0.9454 0.2739
0.7559 0.1747 0.5483
0.7559 0.3253 0.0483
0.9052 0.7235 0.5704
0.9052 0.7765 0.0704
```

Computed properties:
electronic total energy = -6.58 eV/atom
energy relative to the elements, uncorrected = -1.945 eV per atom
space-group type = P2_1/c

---

Record 2
First-principles (GGA-PBE) data for AcTm4Pt3O12 after structural relaxation, as listed in Alexandria via LeMat-Bulk.

```
AcTm4Pt3O12
1.0
-4.0887 4.0887 4.0887
4.0887 -4.0887 4.0887
4.0887 4.0887 -4.0887
Ac Tm Pt O
1 4 3 12
direct
0.0000 0.0000 0.0000
0.0000 0.0000 0.5000
0.0000 0.5000 0.0000
0.5000 0.0000 0.0000
0.5000 0.5000 0.5000
0.0000 0.5000 0.5000
0.5000 0.0000 0.5000
0.5000 0.5000 0.0000
0.1507 0.3080 0.8426
0.1574 0.4654 0.3080
0.1574 0.8493 0.6920
0.3080 0.1574 0.4654
0.3080 0.8426 0.1507
0.4654 0.3080 0.1574
0.5346 0.6920 0.8426
0.6920 0.1574 0.8493
0.6920 0.8426 0.5346
0.8426 0.1507 0.3080
0.8426 0.5346 0.6920
0.8493 0.6920 0.1574
```

Computed properties:
electronic total energy = -7.29 eV/atom
energy relative to the elements, uncorrected = -2.314 eV per atom
space-group type = Im-3

---

Record 3
First-principles (GGA-PBE) data for AcTmPt2O8 after structural relaxation, as listed in Alexandria via LeMat-Bulk.

```
AcTmPt2O8
1.0
5.9626 0.0000 0.0000
-2.9813 5.1638 0.0000
0.0000 0.0000 7.3373
Ac Tm Pt O
1 1 2 8
direct
0.0000 0.0000 0.0000
0.0000 0.0000 0.5000
0.3333 0.6667 0.2443
0.6667 0.3333 0.7557
0.1495 0.2990 0.2856
0.1495 0.8505 0.2856
0.2990 0.1495 0.7144
0.3333 0.6667 0.9866
0.6667 0.3333 0.0134
0.7010 0.8505 0.2856
0.8505 0.1495 0.7144
0.8505 0.7010 0.7144
```

Computed properties:
electronic total energy = -6.24 eV/atom
energy relative to the elements, uncorrected = -1.214 eV per atom
space-group type = P-3m1

---

Record 4
First-principles (GGA-PBE) data for AcTmPtO6 after structural relaxation, as listed in Alexandria via LeMat-Bulk.

```
AcTmPtO6
1.0
5.5264 0.0000 0.0000
-2.7632 4.7860 0.0000
0.0000 0.0000 5.3306
Ac Tm Pt O
1 1 1 6
direct
0.0000 0.0000 0.0000
0.3333 0.6667 0.5000
0.6667 0.3333 0.5000
0.3769 0.0317 0.7123
0.3769 0.3452 0.2877
0.6548 0.0317 0.2877
0.6548 0.6231 0.7123
0.9683 0.3452 0.7123
0.9683 0.6231 0.2877
```

Computed properties:
electronic total energy = -6.99 eV/atom
energy relative to the elements, uncorrected = -2.057 eV per atom
space-group type = P312

---

Record 5
First-principles (GGA-PBE) data for Ac2TmPtO6 after structural relaxation, as listed in Alexandria via LeMat-Bulk.

```
Ac2TmPtO6
1.0
5.8938 -2.8168 0.0000
5.8938 2.8168 0.0000
-2.0638 0.0000 4.8214
Ac Tm Pt O
2 1 1 6
direct
0.2395 0.2395 0.2192
0.7605 0.7605 0.7808
0.5000 0.5000 0.0000
0.0000 0.0000 0.5000
0.1582 0.6785 0.2040
0.3059 0.3059 0.7054
0.3215 0.8418 0.7960
0.6785 0.1582 0.2040
0.6941 0.6941 0.2946
0.8418 0.3215 0.7960
```

Computed properties:
electronic total energy = -7.49 eV/atom
energy relative to the elements, uncorrected = -2.642 eV per atom
space-group type = C2/m